(1)
VASP calculation (PBE) on CaP2S2 after structural relaxation.

Results
- energy relative to the elements, uncorrected (eV/atom) = 0.080
- total moment (μB per atom) = 0.000
- energy (eV per atom) = -4.135
- distance to the lowest polymorph of the same formula (meV/atom) = 356

```
data_CaP2S2
_cell_length_a 4.612
_cell_length_b 4.612
_cell_length_c 4.731
_cell_angle_alpha 90.00
_cell_angle_beta 90.00
_cell_angle_gamma 90.00
_space_group_name_H-M_alt 'P 4/m m m'
_space_group_IT_number 123
_space_group_name_Hall '-P 4 2'
loop_
_atom_site_label
_atom_site_fract_x
_atom_site_fract_y
_atom_site_fract_z
Ca1 0.000 0.000 0.000
P1 0.000 0.500 0.500
S1 0.500 0.500 0.000
S2 0.500 0.500 0.500
```



(2)
VASP calculation (PBE) on RbSrBr2 after structural relaxation.

Results
- energy relative to the elements, uncorrected (eV/atom) = -1.541
- total moment (μB per atom) = 0.000
- energy (eV per atom) = -3.039
- distance to the lowest polymorph of the same formula (meV/atom) = 10

```
data_RbSrBr2
_cell_length_a 4.6954
_cell_length_b 4.6954
_cell_length_c 32.6462
_cell_angle_alpha 90.00
_cell_angle_beta 90.00
_cell_angle_gamma 120.00
_space_group_name_H-M_alt 'R 3 m'
_space_group_IT_number 160
_space_group_name_Hall 'R 3 -2"'
loop_
_atom_site_label
_atom_site_fract_x
_atom_site_fract_y
_atom_site_fract_z
Rb1 0.0000 0.0000 0.0000
Sr1 0.0000 0.0000 0.8282
Br1 0.0000 0.0000 0.2086
Br2 0.0000 0.0000 0.4472
```



(3)
VASP calculation (PBE) on MgPa2BeN5 after structural relaxation.

Results
- energy relative to the elements, uncorrected (eV/atom) = -1.108
- total moment (μB per atom) = 0.000
- energy (eV per atom) = -8.435

```
data_MgPa2BeN5
_cell_length_a 3.321
_cell_length_b 13.088
_cell_length_c 9.507
_cell_angle_alpha 90.00
_cell_angle_beta 90.00
_cell_angle_gamma 90.00
_space_group_name_H-M_alt 'C m c 21'
_space_group_IT_number 36
loop_
_space_group_symop_operation_xyz
'x,y,z'
'-x,-y,z+1/2'
'-x,y,z'
'x,-y,z+1/2'
'x+1/2,y+1/2,z'
'-x+1/2,-y+1/2,z+1/2'
'-x+1/2,y+1/2,z'
'x+1/2,-y+1/2,z+1/2'
loop_
_atom_site_label
_atom_site_fract_x
_atom_site_fract_y
_atom_site_fract_z
Mg1 0.000 0.190 0.000
Pa1 0.000 0.125 0.689
Pa2 0.000 0.130 0.304
Be1 0.000 0.498 0.986
N1 0.000 0.025 0.039
N2 0.000 0.304 0.666
N3 0.000 0.305 0.336
N4 0.000 0.357 0.011
N5 0.000 0.498 0.793
```



(4)
VASP calculation (PBE) on HfBe2Rh after structural relaxation.

Results
- total moment (μB per atom) = 0.000
- energy (eV per atom) = -6.164
- distance to the lowest polymorph of the same formula (meV/atom) = 461

```
data_HfBe2Rh
_cell_length_a 3.896
_cell_length_b 3.896
_cell_length_c 16.088
_cell_angle_alpha 90.00
_cell_angle_beta 90.00
_cell_angle_gamma 90.00
_space_group_name_H-M_alt 'I -4 2 d'
_space_group_IT_number 122
_space_group_name_Hall 'I -4 2bw'
loop_
_atom_site_label
_atom_site_fract_x
_atom_site_fract_y
_atom_site_fract_z
Hf1 0.000 0.000 0.000
Be1 0.003 0.250 0.625
Rh1 0.000 0.000 0.500
```



(5)
VASP calculation (PBE) on LiZn2Cu7Ni2 after structural relaxation.

Results
- total moment (μB per atom) = 0.000
- energy (eV per atom) = -3.777

```
data_LiZn2Cu7Ni2
_cell_length_a 4.081
_cell_length_b 17.372
_cell_length_c 4.081
_cell_angle_alpha 90.00
_cell_angle_beta 90.00
_cell_angle_gamma 90.00
_space_group_name_H-M_alt 'I m m 2'
_space_group_IT_number 44
loop_
_space_group_symop_operation_xyz
'x,y,z'
'-x,-y,z'
'-x,y,z'
'x,-y,z'
'x+1/2,y+1/2,z+1/2'
'-x+1/2,-y+1/2,z+1/2'
'-x+1/2,y+1/2,z+1/2'
'x+1/2,-y+1/2,z+1/2'
loop_
_atom_site_label
_atom_site_fract_x
_atom_site_fract_y
_atom_site_fract_z
Li1 0.000 0.000 0.000
Zn1 0.000 0.250 0.500
Cu1 0.000 0.083 0.500
Cu2 0.000 0.166 0.000
Cu3 0.000 0.417 0.499
Cu4 0.000 0.500 0.999
Ni1 0.000 0.336 0.999
```



(6)
VASP calculation (PBE) on CsPbSN2 after structural relaxation.

Results
- energy relative to the elements, uncorrected (eV/atom) = 1.946
- total moment (μB per atom) = 0.427
- energy (eV per atom) = -3.122
- distance to the lowest polymorph of the same formula (meV/atom) = 876

```
data_CsPbSN2
_cell_length_a 4.447
_cell_length_b 4.447
_cell_length_c 6.714
_cell_angle_alpha 90.00
_cell_angle_beta 90.00
_cell_angle_gamma 90.00
_space_group_name_H-M_alt 'P 4/m m m'
_space_group_IT_number 123
_space_group_name_Hall '-P 4 2'
loop_
_atom_site_label
_atom_site_fract_x
_atom_site_fract_y
_atom_site_fract_z
Cs1 0.000 0.000 0.000
Pb1 0.500 0.500 0.500
S1 0.000 0.000 0.500
N1 0.000 0.500 0.000
```



(7)
VASP calculation (PBE) on LaTlSb2Te after structural relaxation.

Results
- energy relative to the elements, uncorrected (eV/atom) = 0.060
- total moment (μB per atom) = 0.000
- energy (eV per atom) = -3.676
- distance to the lowest polymorph of the same formula (meV/atom) = 0

```
data_LaTlSb2Te
_cell_length_a 6.101
_cell_length_b 6.101
_cell_length_c 6.152
_cell_angle_alpha 90.00
_cell_angle_beta 90.00
_cell_angle_gamma 90.00
_space_group_name_H-M_alt 'P 4/m m m'
_space_group_IT_number 123
_space_group_name_Hall '-P 4 2'
loop_
_atom_site_label
_atom_site_fract_x
_atom_site_fract_y
_atom_site_fract_z
La1 0.000 0.000 0.000
Tl1 0.500 0.500 0.500
Sb1 0.000 0.500 0.000
Te1 0.000 0.000 0.500
```



(8)
VASP calculation (PBE) on TaN2Cl after structural relaxation.

Results
- energy relative to the elements, uncorrected (eV/atom) = 0.072
- total moment (μB per atom) = 0.500
- energy (eV per atom) = -7.515
- distance to the lowest polymorph of the same formula (meV/atom) = 265

```
data_TaN2Cl
_cell_length_a 6.297
_cell_length_b 6.297
_cell_length_c 8.882
_cell_angle_alpha 90.00
_cell_angle_beta 90.00
_cell_angle_gamma 90.00
_space_group_name_H-M_alt 'I -4 2 d'
_space_group_IT_number 122
_space_group_name_Hall 'I -4 2bw'
loop_
_atom_site_label
_atom_site_fract_x
_atom_site_fract_y
_atom_site_fract_z
Ta1 0.000 0.000 0.000
N1 0.003 0.250 0.125
Cl1 0.000 0.000 0.500
```